<i>
Hf2Zr3Sn | Alexandria | GGA-PBE | optimized geometry; space-group type = No. 164; spin magnetization = 0.000 Bohr magnetons per cell; ρ = 9165 kg/m³
1.0
5.029 0.000 0.000
-2.514 4.355 0.000
0.000 0.000 6.199
Hf Zr Sn
2 3 1
direct
0.333 0.667 0.136
0.667 0.333 0.864
0.000 0.000 0.000
0.333 0.667 0.656
0.667 0.333 0.344
0.000 0.000 0.500

<ii>
Hf2Zr3Sn | Alexandria | GGA-PBE | optimized geometry; space-group type = No. 11; spin magnetization = 0.000 Bohr magnetons per cell; ρ = 8961 kg/m³
1.0
6.119 0.000 0.000
0.000 5.675 0.000
-0.003 0.000 7.998
Hf Zr Sn
4 6 2
direct
0.250 0.002 0.024
0.250 0.498 0.024
0.750 0.502 0.976
0.750 0.998 0.976
0.000 0.250 0.689
0.000 0.750 0.311
0.251 0.750 0.692
0.500 0.250 0.689
0.500 0.750 0.311
0.749 0.250 0.308
0.249 0.250 0.364
0.751 0.750 0.636

Which one sits at the top of the stability order? <i> does.

<i>
Hf6ZrSn | Alexandria | GGA-PBE | optimized geometry; space-group type = No. 12; spin magnetization = 0.000 Bohr magnetons per cell; ρ = 10811 kg/m³
1.0
4.246 -3.053 0.000
4.246 3.053 0.000
-2.072 0.000 7.588
Hf Zr Sn
6 1 1
direct
0.042 0.558 0.205
0.129 0.129 0.428
0.442 0.958 0.795
0.558 0.042 0.205
0.871 0.871 0.572
0.958 0.442 0.795
0.500 0.500 0.500
0.000 0.000 0.000

<ii>
Hf6ZrSn | Alexandria | GGA-PBE | optimized geometry; space-group type = No. 38; spin magnetization = 0.000 Bohr magnetons per cell; ρ = 11978 kg/m³
1.0
5.241 0.000 0.000
0.000 5.168 3.278
0.000 -5.168 3.278
Hf Zr Sn
6 1 1
direct
0.000 0.000 0.000
0.000 0.507 0.984
0.000 0.984 0.507
0.500 0.244 0.748
0.500 0.746 0.746
0.500 0.748 0.244
0.000 0.491 0.491
0.500 0.247 0.247

Which one sits at the top of the stability order? <ii> does.

<i>
SrHf3Ta | Alexandria | GGA-PBE | optimized geometry; space-group type = No. 221; spin magnetization = 0.000 Bohr magnetons per cell; ρ = 10788 kg/m³
1.0
4.983 0.000 0.000
0.000 4.983 0.000
0.000 0.000 4.983
Sr Hf Ta
1 3 1
direct
0.000 0.000 0.000
0.000 0.000 0.500
0.000 0.500 0.000
0.500 0.000 0.000
0.500 0.500 0.500

<ii>
SrHf3Ta | Alexandria | GGA-PBE | optimized geometry; space-group type = No. 221; spin magnetization = 0.000 Bohr magnetons per cell; ρ = 9199 kg/m³
1.0
5.255 0.000 0.000
0.000 5.255 0.000
0.000 0.000 5.255
Sr Hf Ta
1 3 1
direct
0.000 0.000 0.000
0.000 0.500 0.500
0.500 0.000 0.500
0.500 0.500 0.000
0.500 0.500 0.500

Which one sits at the top of the stability order? <ii> does.

<i>
Sr2HfTa | Alexandria | GGA-PBE | optimized geometry; space-group type = No. 122; spin magnetization = 2.430 Bohr magnetons per cell; ρ = 7215 kg/m³
1.0
-4.521 4.521 3.011
4.521 -4.521 3.011
4.521 4.521 -3.011
Sr Hf Ta
4 2 2
direct
0.109 0.625 0.984
0.375 0.359 0.484
0.641 0.125 0.016
0.875 0.891 0.516
0.250 0.750 0.500
0.500 0.500 0.000
0.000 0.000 0.000
0.750 0.250 0.500

<ii>
Sr2HfTa | Alexandria | GGA-PBE | optimized geometry; space-group type = No. 225; spin magnetization = 2.714 Bohr magnetons per cell; ρ = 7410 kg/m³
1.0
0.000 3.913 3.913
3.913 0.000 3.913
3.913 3.913 0.000
Sr Hf Ta
2 1 1
direct
0.250 0.250 0.250
0.750 0.750 0.750
0.000 0.000 0.000
0.500 0.500 0.500

Which one sits at the top of the stability order? <ii> does.

<i>
SrHfTa2 | Alexandria | GGA-PBE | optimized geometry; space-group type = No. 225; spin magnetization = 0.000 Bohr magnetons per cell; ρ = 11499 kg/m³
1.0
0.000 3.566 3.566
3.566 0.000 3.566
3.566 3.566 0.000
Sr Hf Ta
1 1 2
direct
0.000 0.000 0.000
0.500 0.500 0.500
0.250 0.250 0.250
0.750 0.750 0.750

<ii>
SrHfTa2 | Alexandria | GGA-PBE | optimized geometry; space-group type = No. 122; spin magnetization = 0.000 Bohr magnetons per cell; ρ = 9134 kg/m³
1.0
-2.372 2.372 10.145
2.372 -2.372 10.145
2.372 2.372 -10.145
Sr Hf Ta
2 2 4
direct
0.000 0.000 0.000
0.750 0.250 0.500
0.250 0.750 0.500
0.500 0.500 0.000
0.258 0.625 0.133
0.375 0.508 0.633
0.492 0.125 0.867
0.875 0.742 0.367

Which one sits at the top of the stability order? <i> does.

<i>
SrHf2Tc | Alexandria | GGA-PBE | optimized geometry; space-group type = No. 141; spin magnetization = 0.000 Bohr magnetons per cell; ρ = 6586 kg/m³
1.0
-2.878 2.878 8.261
2.878 -2.878 8.261
2.878 2.878 -8.261
Sr Hf Tc
2 4 2
direct
0.375 0.625 0.750
0.625 0.375 0.250
0.000 0.000 0.000
0.000 0.000 0.500
0.000 0.500 0.000
0.500 0.000 0.500
0.125 0.875 0.250
0.875 0.125 0.750

<ii>
SrHf2Tc | Alexandria | GGA-PBE | optimized geometry; space-group type = No. 225; spin magnetization = 0.000 Bohr magnetons per cell; ρ = 10392 kg/m³
1.0
0.000 3.513 3.513
3.513 0.000 3.513
3.513 3.513 0.000
Sr Hf Tc
1 2 1
direct
0.000 0.000 0.000
0.250 0.250 0.250
0.750 0.750 0.750
0.500 0.500 0.500

Which one sits at the top of the stability order? <ii> does.

<i>
SrHfTe2 | Alexandria | GGA-PBE | optimized geometry; space-group type = No. 122; spin magnetization = 3.202 Bohr magnetons per cell; ρ = 5188 kg/m³
1.0
-3.458 3.458 6.978
3.458 -3.458 6.978
3.458 3.458 -6.978
Sr Hf Te
2 2 4
direct
0.000 0.000 0.000
0.750 0.250 0.500
0.250 0.750 0.500
0.500 0.500 0.000
0.179 0.625 0.054
0.375 0.429 0.554
0.571 0.125 0.946
0.875 0.821 0.446

<ii>
SrHfTe2 | Alexandria | GGA-PBE | optimized geometry; space-group type = No. 225; spin magnetization = 1.782 Bohr magnetons per cell; ρ = 7937 kg/m³
1.0
0.000 3.792 3.792
3.792 0.000 3.792
3.792 3.792 0.000
Sr Hf Te
1 1 2
direct
0.000 0.000 0.000
0.500 0.500 0.500
0.250 0.250 0.250
0.750 0.750 0.750

<iii>
SrHfTe2 | Alexandria | GGA-PBE | optimized geometry; space-group type = No. 166; spin magnetization = 0.000 Bohr magnetons per cell; ρ = 5915 kg/m³
1.0
2.035 1.175 10.199
-2.035 1.175 10.199
0.000 -2.350 10.199
Sr Hf Te
1 1 2
direct
0.000 0.000 0.000
0.500 0.500 0.500
0.110 0.110 0.110
0.890 0.890 0.890

Which one sits at the top of the stability order? <iii> does.

<i>
Sr2Hf2Te | Alexandria | GGA-PBE | optimized geometry; space-group type = No. 139; spin magnetization = 0.000 Bohr magnetons per cell; ρ = 6511 kg/m³
1.0
-2.002 2.002 10.499
2.002 -2.002 10.499
2.002 2.002 -10.499
Sr Hf Te
2 2 1
direct
0.094 0.094 0.000
0.906 0.906 0.000
0.250 0.750 0.500
0.750 0.250 0.500
0.500 0.500 0.000

<ii>
Sr2Hf2Te | Alexandria | GGA-PBE | optimized geometry; space-group type = No. 127; spin magnetization = 0.008 Bohr magnetons per cell; ρ = 6026 kg/m³
1.0
8.524 0.000 0.000
0.000 8.524 0.000
0.000 0.000 5.004
Sr Hf Te
4 4 2
direct
0.166 0.334 0.000
0.334 0.834 0.000
0.666 0.166 0.000
0.834 0.666 0.000
0.113 0.613 0.500
0.387 0.113 0.500
0.613 0.887 0.500
0.887 0.387 0.500
0.000 0.000 0.000
0.500 0.500 0.000

Which one sits at the top of the stability order? <i> does.

<i>
Sr3HfTe | Alexandria | GGA-PBE | optimized geometry; space-group type = No. 221; spin magnetization = 2.770 Bohr magnetons per cell; ρ = 4336 kg/m³
1.0
6.017 0.000 0.000
0.000 6.017 0.000
0.000 0.000 6.017
Sr Hf Te
3 1 1
direct
0.000 0.000 0.500
0.000 0.500 0.000
0.500 0.000 0.000
0.000 0.000 0.000
0.500 0.500 0.500

<ii>
Sr3HfTe | Alexandria | GGA-PBE | optimized geometry; space-group type = No. 221; spin magnetization = 4.764 Bohr magnetons per cell; ρ = 4007 kg/m³
1.0
6.178 0.000 0.000
0.000 6.178 0.000
0.000 0.000 6.178
Sr Hf Te
3 1 1
direct
0.000 0.000 0.500
0.000 0.500 0.000
0.500 0.000 0.000
0.500 0.500 0.500
0.000 0.000 0.000

Which one sits at the top of the stability order? <ii> does.

<i>
Sr2Hf2Ti | Alexandria | GGA-PBE | optimized geometry; space-group type = No. 139; spin magnetization = 3.296 Bohr magnetons per cell; ρ = 5631 kg/m³
1.0
-1.959 1.959 11.145
1.959 -1.959 11.145
1.959 1.959 -11.145
Sr Hf Ti
2 2 1
direct
0.105 0.105 0.000
0.895 0.895 0.000
0.250 0.750 0.500
0.750 0.250 0.500
0.500 0.500 0.000

<ii>
Sr2Hf2Ti | Alexandria | GGA-PBE | optimized geometry; space-group type = No. 127; spin magnetization = 2.832 Bohr magnetons per cell; ρ = 6677 kg/m³
1.0
9.310 0.000 0.000
0.000 9.310 0.000
0.000 0.000 3.329
Sr Hf Ti
4 4 2
direct
0.128 0.372 0.000
0.372 0.872 0.000
0.628 0.128 0.000
0.872 0.628 0.000
0.174 0.674 0.500
0.326 0.174 0.500
0.674 0.826 0.500
0.826 0.326 0.500
0.000 0.000 0.000
0.500 0.500 0.000

Which one sits at the top of the stability order? <i> does.

<i>
SrHf2Ti | Alexandria | GGA-PBE | optimized geometry; space-group type = No. 225; spin magnetization = 3.697 Bohr magnetons per cell; ρ = 8260 kg/m³
1.0
0.000 3.672 3.672
3.672 0.000 3.672
3.672 3.672 0.000
Sr Hf Ti
1 2 1
direct
0.000 0.000 0.000
0.250 0.250 0.250
0.750 0.750 0.750
0.500 0.500 0.500

<ii>
SrHf2Ti | Alexandria | GGA-PBE | optimized geometry; space-group type = No. 141; spin magnetization = 1.803 Bohr magnetons per cell; ρ = 5922 kg/m³
1.0
-2.642 2.642 9.890
2.642 -2.642 9.890
2.642 2.642 -9.890
Sr Hf Ti
2 4 2
direct
0.375 0.625 0.750
0.625 0.375 0.250
0.000 0.000 0.000
0.000 0.000 0.500
0.000 0.500 0.000
0.500 0.000 0.500
0.125 0.875 0.250
0.875 0.125 0.750

Which one sits at the top of the stability order? <i> does.

<i>
SrHfTi2 | Alexandria | GGA-PBE | optimized geometry; space-group type = No. 225; spin magnetization = 3.401 Bohr magnetons per cell; ρ = 6321 kg/m³
1.0
0.000 3.622 3.622
3.622 0.000 3.622
3.622 3.622 0.000
Sr Hf Ti
1 1 2
direct
0.000 0.000 0.000
0.500 0.500 0.500
0.250 0.250 0.250
0.750 0.750 0.750

<ii>
SrHfTi2 | Alexandria | GGA-PBE | optimized geometry; space-group type = No. 122; spin magnetization = 0.000 Bohr magnetons per cell; ρ = 4996 kg/m³
1.0
-2.449 2.449 10.025
2.449 -2.449 10.025
2.449 2.449 -10.025
Sr Hf Ti
2 2 4
direct
0.000 0.000 0.000
0.750 0.250 0.500
0.250 0.750 0.500
0.500 0.500 0.000
0.361 0.125 0.736
0.375 0.639 0.764
0.389 0.625 0.264
0.875 0.611 0.236

Which one sits at the top of the stability order? <i> does.

<i>
SrHf3V | Alexandria | GGA-PBE | optimized geometry; space-group type = No. 221; spin magnetization = 2.954 Bohr magnetons per cell; ρ = 8509 kg/m³
1.0
5.086 0.000 0.000
0.000 5.086 0.000
0.000 0.000 5.086
Sr Hf V
1 3 1
direct
0.000 0.000 0.000
0.000 0.000 0.500
0.000 0.500 0.000
0.500 0.000 0.000
0.500 0.500 0.500

<ii>
SrHf3V | Alexandria | GGA-PBE | optimized geometry; space-group type = No. 221; spin magnetization = 0.000 Bohr magnetons per cell; ρ = 8553 kg/m³
1.0
5.077 0.000 0.000
0.000 5.077 0.000
0.000 0.000 5.077
Sr Hf V
1 3 1
direct
0.000 0.000 0.000
0.000 0.500 0.500
0.500 0.000 0.500
0.500 0.500 0.000
0.500 0.500 0.500

Which one sits at the top of the stability order? <ii> does.